1.
# GGA-PBE In5Pb4, relaxed
# **Energy of formation from the pure elements**: 0.059 eV/atom
# **E_tot**: -3.111 eV per atom
# **DOS at the Fermi energy**: 0.50 states/eV/atom
data_In5Pb4
_chemical_formula_sum 'In10 Pb8'
_cell_length_a 9.5352
_cell_length_b 9.5352
_cell_length_c 6.7428
_cell_angle_alpha 90.00
_cell_angle_beta 90.00
_cell_angle_gamma 120.00
_symmetry_space_group_name_H-M 'P 63/m c m'
_symmetry_Int_Tables_number 193
_symmetry_space_group_name_Hall '-P 6c 2'
loop_
_atom_site_label
_atom_site_type_symbol
_atom_site_fract_x
_atom_site_fract_y
_atom_site_fract_z
In1 In 0.0000 0.3302 0.2500
In2 In 0.3333 0.6667 0.0000
Pb1 Pb 0.0000 0.0000 0.0000
Pb2 Pb 0.0000 0.3370 0.7500

2.
# GGA-PBE CuSn2Pd3, relaxed
# **Energy of formation from the pure elements**: -0.152 eV/atom
# **E_tot**: -4.765 eV per atom
# **DOS at the Fermi energy**: 0.43 states/eV/atom
data_CuSn2Pd3
_chemical_formula_sum 'Cu2 Sn4 Pd6'
_cell_length_a 3.062
_cell_length_b 4.803
_cell_length_c 15.139
_cell_angle_alpha 90.00
_cell_angle_beta 90.00
_cell_angle_gamma 90.00
_symmetry_space_group_name_H-M 'I m m m'
_symmetry_Int_Tables_number 71
_symmetry_space_group_name_Hall '-I 2 2'
loop_
_atom_site_label
_atom_site_type_symbol
_atom_site_fract_x
_atom_site_fract_y
_atom_site_fract_z
Cu1 Cu 0.000 0.000 0.000
Sn1 Sn 0.000 0.000 0.353
Pd1 Pd 0.000 0.000 0.174
Pd2 Pd 0.000 0.500 0.000

3.
# GGA-PBE KAg2WS4, relaxed
# **E_tot**: -4.993 eV per atom
# **DOS at the Fermi energy**: 0.31 states/eV/atom
data_KAg2WS4
_chemical_formula_sum 'K2 Ag4 W2 S8'
_cell_length_a 6.668
_cell_length_b 6.668
_cell_length_c 9.181
_cell_angle_alpha 90.00
_cell_angle_beta 90.00
_cell_angle_gamma 90.00
_symmetry_space_group_name_H-M 'I -4 2 m'
_symmetry_Int_Tables_number 121
_symmetry_space_group_name_Hall 'I -4 2'
loop_
_atom_site_label
_atom_site_type_symbol
_atom_site_fract_x
_atom_site_fract_y
_atom_site_fract_z
K1 K 0.000 0.000 0.000
Ag1 Ag 0.000 0.500 0.250
W1 W 0.000 0.000 0.500
S1 S 0.193 0.193 0.643